1.
Density functional theory data (PBE) for a relaxed structure of SbH4N.

Unit cell a=6.071 b=6.071 c=5.743 alpha=90.00 beta=90.00 gamma=60.98
Atoms (fractional coordinates):
1 N 0.677 0.677 0.250
2 Sb 0.000 0.000 0.000
3 Sb 0.000 0.000 0.500
4 H 0.240 0.519 0.750
5 H 0.261 0.262 0.607
6 H 0.481 0.760 0.250
7 H 0.520 0.239 0.750
8 H 0.761 0.481 0.250
9 H 0.738 0.739 0.393
10 N 0.323 0.323 0.750
11 H 0.738 0.739 0.107
12 H 0.261 0.262 0.893

Results
**Raw total energy**: -4.40 eV/atom
**DOS at the Fermi energy**: 2.6 states/eV/f.u.
**Space-group type**: Cmcm

=====

2.
Density functional theory data (PBE) for a relaxed structure of Zn2FeSb.

Unit cell a=4.505 b=4.505 c=5.295 alpha=79.84 beta=79.84 gamma=41.42
Atoms (fractional coordinates):
1 Sb 0.231 0.231 0.294
2 Zn 0.759 0.759 0.747
3 Zn 0.015 0.015 0.929
4 Fe 0.495 0.495 0.531

Results
**Formation energy without anion corrections**: 87 kJ/mol of formula units
**Raw total energy**: -3.56 eV/atom
**DOS at the Fermi energy**: 3.2 states/eV/f.u.
**Space-group type**: Cm

=====

3.
Density functional theory data (PBE) for a relaxed structure of TlCo3Cl12.

Unit cell a=11.297 b=11.297 c=13.347 alpha=64.96 beta=64.96 gamma=60.00
Atoms (fractional coordinates):
1 Cl 0.260 0.888 0.629
2 Cl 0.887 0.356 0.340
3 Cl 0.564 0.970 0.475
4 Cl 0.356 0.417 0.340
5 Co 0.846 0.198 0.498
6 Cl 0.387 0.917 0.840
7 Cl 0.590 0.622 0.544
8 Co 0.198 0.458 0.498
9 Cl 0.090 0.744 0.044
10 Cl 0.760 0.723 0.129
11 Cl 0.491 0.470 0.975
12 Co 0.958 0.698 0.998
13 Co 0.698 0.346 0.998
14 Co 0.346 0.958 0.998
15 Cl 0.064 0.491 0.975
16 Cl 0.417 0.887 0.340
17 Cl 0.856 0.387 0.840
18 Cl 0.970 0.991 0.475
19 Cl 0.622 0.244 0.544
20 Co 0.458 0.846 0.498
21 Cl 0.388 0.760 0.129
22 Cl 0.917 0.856 0.840
23 Cl 0.744 0.122 0.044
24 Cl 0.991 0.564 0.475
25 Tl 0.548 0.548 0.356
26 Cl 0.888 0.223 0.629
27 Cl 0.723 0.388 0.129
28 Cl 0.223 0.260 0.629
29 Tl 0.048 0.048 0.856
30 Cl 0.470 0.064 0.975
31 Cl 0.122 0.090 0.044
32 Cl 0.244 0.590 0.544

Results
**Formation energy without anion corrections**: -783 kJ/mol of formula units
**Raw total energy**: -3.37 eV/atom
**DOS at the Fermi energy**: 9.7 states/eV/f.u.
**Space-group type**: R3c

=====

4.
Density functional theory data (PBE) for a relaxed structure of HoNi6B2.

Unit cell a=3.526 b=3.526 c=8.039 alpha=90.00 beta=90.00 gamma=90.00
Atoms (fractional coordinates):
1 Ni 0.500 0.000 0.723
2 Ho 0.000 0.000 0.000
3 B 0.500 0.500 0.858
4 Ni 0.500 0.000 0.277
5 Ni 0.000 0.500 0.723
6 B 0.500 0.500 0.142
7 Ni 0.000 0.500 0.277
8 Ni 0.000 0.000 0.500
9 Ni 0.500 0.500 0.500

Results
**Raw total energy**: -6.16 eV/atom
**DOS at the Fermi energy**: 6.9 states/eV/f.u.
**Space-group type**: P4/mmm

=====

5.
Density functional theory data (PBE) for a relaxed structure of NaSrHg3.

Unit cell a=3.852 b=4.968 c=15.323 alpha=90.00 beta=97.22 gamma=90.00
Atoms (fractional coordinates):
1 Hg 0.682 0.250 0.364
2 Sr 0.924 0.750 0.847
3 Hg 0.318 0.750 0.636
4 Hg 0.373 0.250 0.746
5 Na 0.787 0.250 0.574
6 Hg 0.526 0.750 0.052
7 Sr 0.076 0.250 0.153
8 Hg 0.474 0.250 0.948
9 Hg 0.627 0.750 0.254
10 Na 0.213 0.750 0.426

Results
**Excess energy over the best structure of this formula in the dataset**: 0.0000 eV per atom
**Raw total energy**: -1.15 eV/atom
**DOS at the Fermi energy**: 2.5 states/eV/f.u.
**Space-group type**: Cmcm

=====

6.
Density functional theory data (PBE) for a relaxed structure of Nd3HgO.

Unit cell a=4.966 b=4.966 c=4.966 alpha=90.00 beta=90.00 gamma=90.00
Atoms (fractional coordinates):
1 Nd 0.000 0.500 0.000
2 Nd 0.000 0.000 0.500
3 O 0.000 0.000 0.000
4 Hg 0.500 0.500 0.500
5 Nd 0.500 0.000 0.000

Results
**Formation energy without anion corrections**: -644 kJ/mol of formula units
**Raw total energy**: -5.25 eV/atom
**DOS at the Fermi energy**: 3.1 states/eV/f.u.
**Space-group type**: Pm-3m

=====

> Look up the raw total energy of the first one.

-4.40 eV/atom